# SCAN Li2S, PBEsol geometry
data_Li2S
_cell_length_a 3.9473
_cell_length_b 3.9473
_cell_length_c 109.2280
_cell_angle_alpha 90.00
_cell_angle_beta 90.00
_cell_angle_gamma 120.00
_space_group_name_H-M_alt 'R 3 m'
_space_group_IT_number 160
_space_group_name_Hall 'R 3 -2"'
loop_
_atom_site_label
_atom_site_fract_x
_atom_site_fract_y
_atom_site_fract_z
_atom_site_occupancy
Li1 0.0000 0.0000 0.0000 1
Li2 0.0000 0.0000 0.0203 1
Li3 0.0000 0.0000 0.1106 1
Li4 0.0000 0.0000 0.1556 1
Li5 0.0000 0.0000 0.2009 1
Li6 0.0000 0.0000 0.2459 1
Li7 0.0000 0.0000 0.2912 1
Li8 0.0000 0.0000 0.3634 1
Li9 0.0000 0.0000 0.3842 1
Li10 0.0000 0.0000 0.4282 1
Li11 0.0000 0.0000 0.4740 1
Li12 0.0000 0.0000 0.5190 1
Li13 0.0000 0.0000 0.5643 1
Li14 0.0000 0.0000 0.6092 1
Li15 0.0000 0.0000 0.6548 1
Li16 0.0000 0.0000 0.7275 1
Li17 0.0000 0.0000 0.7481 1
Li18 0.0000 0.0000 0.7922 1
Li19 0.0000 0.0000 0.8375 1
Li20 0.0000 0.0000 0.8825 1
Li21 0.0000 0.0000 0.9277 1
Li22 0.0000 0.0000 0.9724 1
S1 0.0000 0.0000 0.0418 1
S2 0.0000 0.0000 0.1333 1
S3 0.0000 0.0000 0.2235 1
S4 0.0000 0.0000 0.3141 1
S5 0.0000 0.0000 0.4056 1
S6 0.0000 0.0000 0.4967 1
S7 0.0000 0.0000 0.5869 1
S8 0.0000 0.0000 0.6775 1
S9 0.0000 0.0000 0.7700 1
S10 0.0000 0.0000 0.8601 1
S11 0.0000 0.0000 0.9503 1
# Formation energy from raw total energies, eV/atom: -1.438
# Total magnetization, μB/f.u.: 0.00
# Distance to the lowest polymorph of the same formula, meV per atom: 78.9
# Electronic total energy, eV/atom: -6.2408



# SCAN Li5SbS4, PBEsol geometry
data_Li5SbS4
_cell_length_a 16.1614
_cell_length_b 16.1614
_cell_length_c 5.8804
_cell_angle_alpha 90.00
_cell_angle_beta 90.00
_cell_angle_gamma 90.00
_space_group_name_H-M_alt 'P 42/n m c'
_space_group_IT_number 137
loop_
_space_group_symop_operation_xyz
'x,y,z'
'-x,-y,-z'
'-y+1/2,x,z+1/2'
'y+1/2,-x,-z+1/2'
'-x+1/2,-y+1/2,z'
'x+1/2,y+1/2,-z'
'y,-x+1/2,z+1/2'
'-y,x+1/2,-z+1/2'
'x+1/2,-y,-z'
'-x+1/2,y,z'
'-y,-x,-z+1/2'
'y,x,z+1/2'
'-x,y+1/2,-z'
'x,-y+1/2,z'
'y+1/2,x+1/2,-z+1/2'
'-y+1/2,-x+1/2,z+1/2'
loop_
_atom_site_label
_atom_site_fract_x
_atom_site_fract_y
_atom_site_fract_z
_atom_site_occupancy
Li1 0.0144 0.5144 0.2500 1
Li2 0.1101 0.1379 0.1727 1
Li3 0.1215 0.6215 0.7500 1
Li4 0.2500 0.2500 0.1380 1
Li5 0.2500 0.7500 0.2500 1
Li6 0.2500 0.7500 0.7500 1
Sb1 0.0212 0.7500 0.3016 1
S1 0.0098 0.1154 0.4640 1
S2 0.1283 0.7500 0.9766 1
S3 0.1285 0.2500 0.8864 1
# Formation energy from raw total energies, eV/atom: -1.109
# Total magnetization, μB/f.u.: 0.00
# Distance to the lowest polymorph of the same formula, meV per atom: 71.4
# Electronic total energy, eV/atom: -9.8812



# SCAN Li7Sb2S, PBEsol geometry
data_Li7Sb2S
_cell_length_a 5.7267
_cell_length_b 13.7064
_cell_length_c 9.1639
_cell_angle_alpha 90.00
_cell_angle_beta 95.57
_cell_angle_gamma 90.00
_space_group_name_H-M_alt 'P 1 21/c 1'
_space_group_IT_number 14
loop_
_space_group_symop_operation_xyz
'x,y,z'
'-x,-y,-z'
'-x,y+1/2,-z+1/2'
'x,-y+1/2,z+1/2'
loop_
_atom_site_label
_atom_site_fract_x
_atom_site_fract_y
_atom_site_fract_z
_atom_site_occupancy
Li1 0.0205 0.1096 0.1474 1
Li2 0.0579 0.2405 0.4060 1
Li3 0.2598 0.5479 0.6991 1
Li4 0.2909 0.5526 0.0269 1
Li5 0.3163 0.1501 0.6352 1
Li6 0.4487 0.7415 0.6033 1
Li7 0.4735 0.6254 0.3294 1
Sb1 0.1832 0.7132 0.8486 1
Sb2 0.2959 0.0551 0.9119 1
S1 0.3030 0.0974 0.3762 1
# Formation energy from raw total energies, eV/atom: -0.848
# Total magnetization, μB/f.u.: 0.00
# Electronic total energy, eV/atom: -10.9358



# SCAN Li7Sb2S2, PBEsol geometry
data_Li7Sb2S2
_cell_length_a 5.5431
_cell_length_b 8.7642
_cell_length_c 9.8604
_cell_angle_alpha 67.53
_cell_angle_beta 76.53
_cell_angle_gamma 74.64
_space_group_name_H-M_alt 'P -1'
_space_group_IT_number 2
loop_
_space_group_symop_operation_xyz
'x,y,z'
'-x,-y,-z'
loop_
_atom_site_label
_atom_site_fract_x
_atom_site_fract_y
_atom_site_fract_z
_atom_site_occupancy
Li1 0.0465 0.4426 0.3698 1
Li2 0.0643 0.9408 0.3785 1
Li3 0.1223 0.2528 0.1686 1
Li4 0.1659 0.1090 0.9452 1
Li5 0.2904 0.6516 0.0163 1
Li6 0.3867 0.7431 0.6898 1
Li7 0.4184 0.0797 0.6285 1
Sb1 0.2446 0.4327 0.8673 1
Sb2 0.3890 0.6310 0.3765 1
S1 0.1429 0.9235 0.8352 1
S2 0.2323 0.1527 0.4071 1
# Formation energy from raw total energies, eV/atom: -0.990
# Total magnetization, μB/f.u.: 0.00
# Distance to the lowest polymorph of the same formula, meV per atom: 0.0
# Electronic total energy, eV/atom: -11.0357



# SCAN Li3SbS3, PBEsol geometry
data_Li3SbS3
_cell_length_a 7.0295
_cell_length_b 7.0295
_cell_length_c 19.1609
_cell_angle_alpha 90.00
_cell_angle_beta 90.00
_cell_angle_gamma 120.00
_space_group_name_H-M_alt 'R -3'
_space_group_IT_number 148
_space_group_name_Hall '-R 3'
loop_
_atom_site_label
_atom_site_fract_x
_atom_site_fract_y
_atom_site_fract_z
_atom_site_occupancy
Li1 0.0145 0.3025 0.1184 1
Sb1 0.0000 0.0000 0.3232 1
S1 0.0166 0.3755 0.9136 1
# Formation energy from raw total energies, eV/atom: -1.030
# Total magnetization, μB/f.u.: 0.00
# Distance to the lowest polymorph of the same formula, meV per atom: 52.3
# Electronic total energy, eV/atom: -11.5033



# SCAN Li5SbS4, PBEsol geometry
data_Li5SbS4
_cell_length_a 7.2478
_cell_length_b 12.8405
_cell_length_c 7.8064
_cell_angle_alpha 90.00
_cell_angle_beta 90.00
_cell_angle_gamma 90.00
_space_group_name_H-M_alt 'C m c 21'
_space_group_IT_number 36
loop_
_space_group_symop_operation_xyz
'x,y,z'
'-x,-y,z+1/2'
'-x,y,z'
'x,-y,z+1/2'
'x+1/2,y+1/2,z'
'-x+1/2,-y+1/2,z+1/2'
'-x+1/2,y+1/2,z'
'x+1/2,-y+1/2,z+1/2'
loop_
_atom_site_label
_atom_site_fract_x
_atom_site_fract_y
_atom_site_fract_z
_atom_site_occupancy
Li1 0.0000 0.1674 0.0000 1
Li2 0.1901 0.0481 0.3229 1
Li3 0.2448 0.3649 0.1378 1
Sb1 0.0000 0.3322 0.4954 1
S1 0.0000 0.0110 0.5840 1
S2 0.0000 0.4690 0.2752 1
S3 0.2429 0.2657 0.8662 1
# Formation energy from raw total energies, eV/atom: -1.180
# Total magnetization, μB/f.u.: 0.00
# Distance to the lowest polymorph of the same formula, meV per atom: 0.0
# Electronic total energy, eV/atom: -9.9525



# SCAN Li3SbS4, PBEsol geometry
data_Li3SbS4
_cell_length_a 7.0832
_cell_length_b 8.8407
_cell_length_c 10.0087
_cell_angle_alpha 90.00
_cell_angle_beta 90.00
_cell_angle_gamma 90.00
_space_group_name_H-M_alt 'P n m a'
_space_group_IT_number 62
loop_
_space_group_symop_operation_xyz
'x,y,z'
'-x,-y,-z'
'-x+1/2,-y,z+1/2'
'x+1/2,y,-z+1/2'
'x+1/2,-y+1/2,-z+1/2'
'-x+1/2,y+1/2,z+1/2'
'-x,y+1/2,-z'
'x,-y+1/2,z'
loop_
_atom_site_label
_atom_site_fract_x
_atom_site_fract_y
_atom_site_fract_z
_atom_site_occupancy
Li1 0.0272 0.2500 0.0881 1
Li2 0.2263 0.0419 0.7441 1
Sb1 0.0742 0.2500 0.4935 1
S1 0.0261 0.7500 0.2810 1
S2 0.1383 0.7500 0.6890 1
S3 0.2100 0.5464 0.9828 1
# Formation energy from raw total energies, eV/atom: -0.887
# Total magnetization, μB/f.u.: 0.00
# Distance to the lowest polymorph of the same formula, meV per atom: 82.4
# Electronic total energy, eV/atom: -11.2546



# SCAN Li3SbS4, PBEsol geometry
data_Li3SbS4
_cell_length_a 7.9121
_cell_length_b 6.8167
_cell_length_c 6.3663
_cell_angle_alpha 90.00
_cell_angle_beta 90.00
_cell_angle_gamma 90.00
_space_group_name_H-M_alt 'P m n 21'
_space_group_IT_number 31
loop_
_space_group_symop_operation_xyz
'x,y,z'
'-x+1/2,-y,z+1/2'
'-x,y,z'
'x+1/2,-y,z+1/2'
loop_
_atom_site_label
_atom_site_fract_x
_atom_site_fract_y
_atom_site_fract_z
_atom_site_occupancy
Li1 0.0000 0.1549 0.0000 1
Li2 0.2455 0.3258 0.5074 1
Sb1 0.0000 0.8273 0.5097 1
S1 0.0000 0.1515 0.3840 1
S2 0.0000 0.8193 0.8798 1
S3 0.2432 0.6642 0.3881 1
# Formation energy from raw total energies, eV/atom: -0.969
# Total magnetization, μB/f.u.: 0.00
# Distance to the lowest polymorph of the same formula, meV per atom: 0.0
# Electronic total energy, eV/atom: -11.3370



- Among the records above, which one has the highest electronic total energy?
  Li2S